[1]
First-principles (GGA-PBE) data for an optimized crystal structure of KRuRh, as listed in Alexandria.

Geometry as CIF:
```
data_KRuRh
_cell_length_a 5.7588
_cell_length_b 5.7588
_cell_length_c 9.0659
_cell_angle_alpha 90.00
_cell_angle_beta 90.00
_cell_angle_gamma 120.00
_symmetry_space_group_name_H-M 'P 1'
_symmetry_Int_Tables_number 1
_symmetry_space_group_name_Hall 'P 1'
loop_
_atom_site_label
_atom_site_type_symbol
_atom_site_fract_x
_atom_site_fract_y
_atom_site_fract_z
K1 K 0.3333 0.6667 0.2500
K2 K 0.6667 0.3333 0.7500
Ru1 Ru 0.0000 0.0000 0.2500
Rh1 Rh 0.0000 0.0000 0.0000
Ru2 Ru 0.0000 0.0000 0.7500
Rh2 Rh 0.0000 0.0000 0.5000
```

Output
**E above lowest polymorph**: 3.671 eV per formula unit
**Uncorrected energy**: -4.200 eV/atom
**ΔE_f**: 1708 meV/atom

[2]
First-principles (GGA-PBE) data for an optimized crystal structure of Zr2ScPb, as listed in Alexandria.

Geometry as CIF:
```
data_Zr2ScPb
_cell_length_a 5.6070
_cell_length_b 5.6070
_cell_length_c 5.4665
_cell_angle_alpha 76.71
_cell_angle_beta 76.71
_cell_angle_gamma 34.29
_symmetry_space_group_name_H-M 'P 1'
_symmetry_Int_Tables_number 1
_symmetry_space_group_name_Hall 'P 1'
loop_
_atom_site_label
_atom_site_type_symbol
_atom_site_fract_x
_atom_site_fract_y
_atom_site_fract_z
Zr1 Zr 0.7523 0.7523 0.7568
Sc1 Sc 0.2462 0.2462 0.2678
Zr2 Zr 0.0038 0.0038 0.9856
Pb1 Pb 0.4977 0.4977 0.4898
```

Output
**Uncorrected energy**: -6.891 eV/atom
**ΔE_f**: -107 meV/atom

[3]
First-principles (GGA-PBE) data for an optimized crystal structure of KTc2Ru2, as listed in Alexandria.

Geometry as CIF:
```
data_KTc2Ru2
_cell_length_a 7.9597
_cell_length_b 7.9597
_cell_length_c 2.7197
_cell_angle_alpha 90.00
_cell_angle_beta 90.00
_cell_angle_gamma 90.00
_symmetry_space_group_name_H-M 'P 1'
_symmetry_Int_Tables_number 1
_symmetry_space_group_name_Hall 'P 1'
loop_
_atom_site_label
_atom_site_type_symbol
_atom_site_fract_x
_atom_site_fract_y
_atom_site_fract_z
K1 K 0.5000 0.5000 0.0000
Ru1 Ru 0.3775 0.8775 0.0000
Tc1 Tc 0.1586 0.6586 0.5000
Ru2 Ru 0.8775 0.6225 0.0000
Tc2 Tc 0.6586 0.8414 0.5000
Ru3 Ru 0.6225 0.1225 0.0000
Tc3 Tc 0.3414 0.1586 0.5000
K2 K 0.0000 0.0000 0.0000
Ru4 Ru 0.1225 0.3775 0.0000
Tc4 Tc 0.8414 0.3414 0.5000
```

Output
**E above lowest polymorph**: 0.000 eV per formula unit
**Uncorrected energy**: -7.470 eV/atom
**ΔE_f**: 606 meV/atom

[4]
First-principles (GGA-PBE) data for an optimized crystal structure of LaHg2Br, as listed in Alexandria.

Geometry as CIF:
```
data_LaHg2Br
_cell_length_a 5.9343
_cell_length_b 5.9343
_cell_length_c 5.9343
_cell_angle_alpha 135.01
_cell_angle_beta 129.00
_cell_angle_gamma 70.33
_symmetry_space_group_name_H-M 'P 1'
_symmetry_Int_Tables_number 1
_symmetry_space_group_name_Hall 'P 1'
loop_
_atom_site_label
_atom_site_type_symbol
_atom_site_fract_x
_atom_site_fract_y
_atom_site_fract_z
Hg1 Hg 0.0010 0.0010 0.0000
Hg2 Hg 0.7472 0.2472 0.5000
Br1 Br 0.2591 0.7591 0.5000
La1 La 0.4928 0.4928 0.0000
```

Output
**Formation energy without anion corrections**: -0.679 eV/atom
**E above lowest polymorph**: 0.108 eV per formula unit
**Uncorrected energy**: -2.480 eV/atom

[5]
First-principles (GGA-PBE) data for an optimized crystal structure of Tb2SCl, as listed in Alexandria.

Geometry as CIF:
```
data_Tb2SCl
_cell_length_a 3.7472
_cell_length_b 3.7472
_cell_length_c 7.7706
_cell_angle_alpha 76.05
_cell_angle_beta 76.05
_cell_angle_gamma 60.00
_symmetry_space_group_name_H-M 'P 1'
_symmetry_Int_Tables_number 1
_symmetry_space_group_name_Hall 'P 1'
loop_
_atom_site_label
_atom_site_type_symbol
_atom_site_fract_x
_atom_site_fract_y
_atom_site_fract_z
Cl1 Cl 0.4983 0.4983 0.5050
Tb1 Tb 0.2635 0.2635 0.2096
S1 S 0.6666 0.6666 0.0003
Tb2 Tb 0.0716 0.0716 0.7851
```

Output
**Formation energy without anion corrections**: -1.590 eV/atom
**E above lowest polymorph**: 0.063 eV per formula unit
**Uncorrected energy**: -5.399 eV/atom